V2ZnO4 PBE+U relaxed; E = -6.8686 eV/atom; ΔE to the lowest computed polymorph = 17.8 kJ/mol of atoms; mass density = 5.00 g/cm³
1.0
7.1925 -1.4471 0.0000
7.1925 1.4471 0.0000
-6.1883 0.0000 7.3833
V Zn O
4 2 8
Direct
0.1398 0.1398 0.4645 V
0.3490 0.3490 0.1868 V
0.6510 0.6510 0.8132 V
0.8602 0.8602 0.5355 V
0.1128 0.1128 0.1176 Zn
0.8872 0.8872 0.8824 Zn
0.0340 0.0340 0.7312 O
0.2880 0.2880 0.9268 O
0.3293 0.3293 0.6541 O
0.3592 0.3592 0.3975 O
0.6408 0.6408 0.6025 O
0.6707 0.6707 0.3459 O
0.7120 0.7120 0.0732 O
0.9660 0.9660 0.2688 O